Crystalline YAgCl2 at its relaxed geometry. Source: Alexandria, functional PBE.

Results
volume	28.77	Å³/atom
spin magnetization	0.00	μB per atom
E_form (uncorrected)	-1.1022	eV per atom
relative energy among the computed polymorphs	0.1432	eV/atom

a = 3.319 Å, b = 4.697 Å, c = 14.764 Å
α = 90.00°, β = 90.00°, γ = 90.00°
Space group Imm2 (No. 44)
Asymmetric unit:
Y 0.000 0.000 0.000 x2
Ag 0.000 0.500 0.681 x2
Cl 0.000 0.000 0.519 x2
Cl 0.000 0.500 0.357 x2



Crystalline YAg2Cl at its relaxed geometry. Source: Alexandria, functional PBE.

Results
volume	22.45	Å³/atom
spin magnetization	0.00	μB per atom
E_form (uncorrected)	-0.3368	eV per atom
relative energy among the computed polymorphs	0.2391	eV/atom

a = 3.480 Å, b = 3.480 Å, c = 7.417 Å
α = 90.00°, β = 90.00°, γ = 90.00°
Space group P4/mmm (No. 123)
Asymmetric unit:
Y 0.000 0.000 0.000 x1
Ag 0.500 0.500 0.259 x2
Cl 0.000 0.000 0.500 x1



Crystalline YAg2Cl at its relaxed geometry. Source: Alexandria, functional PBE.

Results
volume	22.91	Å³/atom
spin magnetization	0.00	μB per atom
E_form (uncorrected)	-0.1164	eV per atom
relative energy among the computed polymorphs	0.4595	eV/atom

a = 7.156 Å, b = 7.156 Å, c = 7.156 Å
α = 90.00°, β = 90.00°, γ = 90.00°
Space group Fm-3m (No. 225)
Asymmetric unit:
Y 0.000 0.000 0.000 x4
Ag 0.250 0.250 0.250 x8
Cl 0.000 0.000 0.500 x4